This record from OQMD via LeMat-Bulk describes a geometry-optimized TbTl3Br6 structure. The functional is PBE.

Values from the calculation:
As for the energy: -3.46 eV per atom. The calculation puts the density at 5577 kg/m3.

Lattice parameters (Å, degrees): 7.741 8.558 13.288 90.00 122.16 90.00
Sites, in units of the cell vectors:
Tb 0.000 0.000 0.000
Tb 0.000 0.500 0.500
Tl 0.298 0.079 0.768
Tl 0.298 0.421 0.268
Tl 0.500 0.000 0.500
Tl 0.500 0.500 0.000
Tl 0.702 0.579 0.732
Tl 0.702 0.921 0.232
Br 0.096 0.062 0.232
Br 0.096 0.438 0.732
Br 0.239 0.725 0.079
Br 0.239 0.775 0.579
Br 0.347 0.169 0.046
Br 0.347 0.331 0.546
Br 0.653 0.669 0.454
Br 0.653 0.831 0.954
Br 0.761 0.225 0.421
Br 0.761 0.275 0.921
Br 0.904 0.562 0.268
Br 0.904 0.938 0.768

This record from OQMD via LeMat-Bulk describes a geometry-optimized Tb2W2Br structure. The functional is PBE.

Values from the calculation:
As for the energy: -6.31 eV per atom. The calculation puts the density at 10655 kg/m3.

Lattice parameters (Å, degrees): 9.275 7.882 6.350 80.55 56.97 42.49
Sites, in units of the cell vectors:
Tb 0.028 0.722 0.028
Tb 0.278 0.972 0.278
Tb 0.722 0.028 0.722
Tb 0.972 0.278 0.972
W 0.000 0.500 0.500
W 0.500 0.000 0.500
W 0.500 0.500 0.000
W 0.500 0.500 0.500
Br 0.375 0.375 0.375
Br 0.625 0.625 0.625

This record from OQMD via LeMat-Bulk describes a geometry-optimized Tb4ZrBr structure. The functional is PBE.

Values from the calculation:
As for the energy: -4.56 eV per atom. The calculation puts the density at 6709 kg/m3.

Lattice parameters (Å, degrees): 6.226 6.226 5.153 90.00 90.00 91.19
Sites, in units of the cell vectors:
Tb 0.186 0.814 0.000
Tb 0.316 0.316 0.500
Tb 0.684 0.684 0.500
Tb 0.814 0.186 0.000
Zr 0.500 0.500 0.000
Br 0.000 0.000 0.500

This record from OQMD via LeMat-Bulk describes a geometry-optimized Tc2Br structure. The functional is PBE.

Values from the calculation:
Its energy above the most stable polymorph in this dataset is 1.559 eV/atom. The calculation puts the density at 2599 kg/m3.

Lattice parameters (Å, degrees): 7.930 7.930 7.930 60.00 60.00 60.00
Sites, in units of the cell vectors:
Tc 0.000 0.000 0.000
Tc 0.000 0.000 0.500
Tc 0.000 0.500 0.000
Tc 0.500 0.000 0.000
Br 0.125 0.125 0.125
Br 0.875 0.875 0.875

This record from OQMD via LeMat-Bulk describes a geometry-optimized TcBr4 structure. The functional is PBE.

Values from the calculation:
Its energy above the most stable polymorph in this dataset is 0.000 eV/atom. The calculation puts the density at 4387 kg/m3.

Lattice parameters (Å, degrees): 6.678 7.750 6.444 90.00 108.58 90.00
Sites, in units of the cell vectors:
Tc 0.000 0.138 0.250
Tc 0.000 0.862 0.750
Br 0.224 0.111 0.997
Br 0.224 0.889 0.497
Br 0.241 0.349 0.470
Br 0.241 0.651 0.970
Br 0.759 0.349 0.030
Br 0.759 0.651 0.530
Br 0.776 0.111 0.503
Br 0.776 0.889 0.003

This record from OQMD via LeMat-Bulk describes a geometry-optimized Tc2Br structure. The functional is PBE.

Values from the calculation:
Its energy above the most stable polymorph in this dataset is 0.000 eV/atom. The calculation puts the density at 8748 kg/m3.

Lattice parameters (Å, degrees): 5.291 5.291 5.291 60.00 60.00 60.00
Sites, in units of the cell vectors:
Tc 0.000 0.000 0.000
Tc 0.000 0.000 0.500
Tc 0.000 0.500 0.000
Tc 0.500 0.000 0.000
Br 0.375 0.375 0.375
Br 0.625 0.625 0.625